Entry 1:
A relaxed Sm2ZnCd3 crystal, computed with PBE-GGA.

Results
ΔE_f ... -219.8 meV/atom
Energy ... -14.78 eV/cell

Cell and atoms, written as POSCAR:
```
Sm2ZnCd3
1.0
4.7968 0.0000 -1.2768
-0.2587 3.4197 -0.9719
-0.1369 0.7279 9.1345
Cd Sm Zn
3 2 1
Direct
0.2881 0.7881 0.5763 Cd
0.5491 0.5491 0.0982 Cd
0.7137 0.7137 0.4275 Cd
0.1193 0.1193 0.2386 Sm
0.8904 0.3904 0.7809 Sm
0.4393 0.9393 0.8786 Zn
```

---

Entry 2:
A relaxed SmZrCd4 crystal, computed with PBE-GGA.

Results
ΔE_f ... -183.8 meV/atom
Energy ... -18.03 eV/cell

Cell and atoms, written as POSCAR:
```
SmZrCd4
1.0
2.4782 4.2843 -0.2438
-2.4782 4.2843 -0.2438
0.0000 0.3826 6.5922
Cd Sm Zr
4 1 1
Direct
0.1668 0.1668 0.2654 Cd
0.8335 0.8335 0.2654 Cd
0.1665 0.1665 0.7346 Cd
0.8332 0.8332 0.7346 Cd
0.5000 0.5000 0.0000 Sm
0.5000 0.5000 0.5000 Zr
```

---

Entry 3:
A relaxed SmZrCd6 crystal, computed with PBE-GGA.

Results
ΔE_f ... -165.7 meV/atom
Energy ... -20.08 eV/cell

Cell and atoms, written as POSCAR:
```
SmZrCd6
1.0
4.6080 0.0000 0.0000
0.0000 4.6080 0.0000
0.0000 0.0000 8.7912
Sm Cd Zr
1 6 1
Direct
0.0000 0.0000 0.0000 Sm
0.5000 0.5000 0.5000 Cd
0.5000 0.0000 0.2633 Cd
0.5000 0.5000 0.0000 Cd
0.0000 0.5000 0.7367 Cd
0.0000 0.5000 0.2633 Cd
0.5000 0.0000 0.7367 Cd
0.0000 0.0000 0.5000 Zr
```

---

Which value of ΔE_f does entry 2 give?
-183.8 meV/atom